The following is a DFT calculation (GGA-PBE) of ThGaIr2 after structural relaxation.

a = 4.2957 Å, b = 4.2957 Å, c = 5.5358 Å
α = 67.17°, β = 67.17°, γ = 60.00°
Last column: nearest neighbours and their distance in Å.
Atoms (fractional coordinates):
Ga (0.5000, 0.5000, 0.5000)  6 Ir 2.58
Ir (0.7852, 0.7852, 0.6443)  3 Ga 2.58, 3 Ir 2.86
Ir (0.2148, 0.2148, 0.3557)  3 Ga 2.58, 3 Ir 2.86
Th (0.0000, 0.0000, 0.0000)  8 Ir 3.04-3.19

V ... 79 Å³ per cell
Spin magnetization ... 0.000 μB per atom
E_form ... -0.697 eV per atom

=====

The following is a DFT calculation (GGA-PBE) of Th3GaIr8 after structural relaxation.

a = 5.4334 Å, b = 5.4334 Å, c = 9.3685 Å
α = 73.14°, β = 73.14°, γ = 60.00°
Last column: nearest neighbours and their distance in Å.
Atoms (fractional coordinates):
Ir (0.8091, 0.8091, 0.5729)  6 Ir 2.68-2.74
Ir (0.0597, 0.5633, 0.3174)  6 Ir 2.70-2.74, 1 Ga 2.74
Ir (0.5615, 0.0573, 0.8198)  6 Ir 2.68-2.74
Ir (0.3101, 0.3101, 0.0696)  6 Ir 2.70-2.71
Ir (0.0597, 0.0597, 0.3174)  6 Ir 2.70-2.74, 1 Ga 2.74
Ir (0.0573, 0.5615, 0.8198)  6 Ir 2.68-2.74
Ir (0.5633, 0.0597, 0.3174)  6 Ir 2.70-2.74, 1 Ga 2.74
Ir (0.5615, 0.5615, 0.8198)  6 Ir 2.68-2.74
Th (0.4912, 0.4912, 0.5263)  12 Ir 3.04-3.28, 3 Ga 3.16
Th (0.6218, 0.6218, 0.1347)  12 Ir 3.16-3.19, 4 Th 3.46-3.48
Th (0.0119, 0.0119, 0.9642)  9 Ir 3.00-3.27
Ga (0.1430, 0.1430, 0.5709)  3 Ir 2.74

V ... 226 Å³ per cell
Spin magnetization ... 0.000 μB per atom
E_form ... -0.673 eV per atom

=====

The following is a DFT calculation (GGA-PBE) of ThGa4Ir2 after structural relaxation.

a = 4.3387 Å, b = 4.2710 Å, c = 7.3492 Å
α = 106.89°, β = 90.00°, γ = 90.00°
Last column: nearest neighbours and their distance in Å.
Atoms (fractional coordinates):
Ir (0.5000, 0.4091, 0.8182)  4 Ga 2.53-2.54, 1 Ir 2.56
Ir (0.5000, 0.5909, 0.1818)  4 Ga 2.53-2.54, 1 Ir 2.56
Ga (0.0000, 0.6854, 0.3708)  2 Ir 2.54, 4 Ga 2.80-2.81
Ga (0.0000, 0.3146, 0.6292)  2 Ir 2.54, 4 Ga 2.80-2.81
Ga (0.5000, 0.8127, 0.6253)  2 Ir 2.53, 4 Ga 2.77-2.81
Ga (0.5000, 0.1873, 0.3747)  2 Ir 2.53, 4 Ga 2.77-2.81
Th (0.0000, 0.0000, 0.0000)  8 Ir 3.30, 8 Ga 3.37-3.41

V ... 130 Å³ per cell
Spin magnetization ... 0.000 μB per atom
E_form ... -0.473 eV per atom
Energy above the most stable polymorph in this dataset ... 1.20 eV per formula unit

=====

The highest E_form belongs to which entry?
ThGa4Ir2

=====

Which of these has the highest V?
Th3GaIr8

=====

Among the records above, which one has the lowest E_form?
ThGaIr2